1.
DFT (PBE-GGA) results for ErSnTe after structural relaxation.

Output
Space group = F-43m, No. 216
VASP energy = -12.5 eV for the cell shown

The structure in POSCAR format:
```
ErSnTe
1.0
0.0000 3.6235 3.6235
3.6235 0.0000 3.6235
3.6235 3.6235 0.0000
Er Sn Te
1 1 1
direct
0.0000 0.0000 0.0000 Er
0.5000 0.5000 0.5000 Sn
0.2500 0.2500 0.2500 Te
```


2.
DFT (PBE-GGA) results for GePdSO after structural relaxation.

Output
Space group = P4/nmm, No. 129
VASP energy = -40.3 eV for the cell shown

The structure in POSCAR format:
```
GePdSO
1.0
3.9121 0.0000 0.0000
0.0000 3.9121 0.0000
0.0000 0.0000 9.9184
Ge Pd S O
2 2 2 2
direct
0.2500 0.2500 0.1055 Ge
0.7500 0.7500 0.8945 Ge
0.2500 0.7500 0.5000 Pd
0.7500 0.2500 0.5000 Pd
0.2500 0.2500 0.6361 S
0.7500 0.7500 0.3639 S
0.2500 0.2500 0.9284 O
0.7500 0.7500 0.0716 O
```


3.
DFT (PBE-GGA) results for LuCuAsPt after structural relaxation.

Output
Space group = F-43m, No. 216
VASP energy = -21.1 eV for the cell shown

The structure in POSCAR format:
```
LuCuAsPt
1.0
0.0000 3.2690 3.2690
3.2690 0.0000 3.2690
3.2690 3.2690 0.0000
Lu Cu As Pt
1 1 1 1
direct
0.0000 0.0000 0.0000 Lu
0.7500 0.7500 0.7500 Cu
0.5000 0.5000 0.5000 As
0.2500 0.2500 0.2500 Pt
```


4.
DFT (PBE-GGA) results for GdErNO after structural relaxation.

Output
Space group = Pca2_1, No. 29
VASP energy = -124.9 eV for the cell shown

The structure in POSCAR format:
```
GdErNO
1.0
6.5909 0.0000 0.0000
0.0000 8.0646 0.0000
0.0000 0.0000 4.9535
Gd Er N O
4 4 4 4
direct
0.0812 0.1287 0.0000 Gd
0.4188 0.1287 0.5000 Gd
0.5812 0.8713 0.0000 Gd
0.9188 0.8713 0.5000 Gd
0.0708 0.6206 0.0021 Er
0.4292 0.6206 0.5021 Er
0.5708 0.3794 0.0021 Er
0.9292 0.3794 0.5021 Er
0.0653 0.1298 0.4988 N
0.4347 0.1298 0.9988 N
0.5653 0.8702 0.4988 N
0.9347 0.8702 0.9988 N
0.0964 0.6248 0.5036 O
0.4036 0.6248 0.0036 O
0.5964 0.3752 0.5036 O
0.9036 0.3752 0.0036 O
```